VASP calculation (GGA-PBE) on a relaxed CsLaHRhS crystal.

Values from the calculation:
Energy in eV/atom: -4.86
Size of the total moment in μB per formula unit: 0.0

Lattice parameters (Å, degrees): 7.3508 4.2452 8.4165 90.00 106.82 90.00
Space group Cm (No. 8)
Symmetry-distinct sites (fractional):
Cs1 0.0000 0.0000 0.0000
La1 0.1737 0.0000 0.5252
H1 0.0743 0.5000 0.7195
Rh1 0.2828 0.5000 0.3498
S1 0.4320 0.0000 0.2978

VASP calculation (GGA-PBE) on a relaxed PmThMgCd crystal.

Values from the calculation:
Energy of formation from the pure elements in kJ per mole of atoms: -7
Size of the total moment in μB per formula unit: 0.0

Lattice parameters (Å, degrees): 7.6819 7.6819 7.6819 90.00 90.00 90.00
Space group F-43m (No. 216)
Symmetry-distinct sites (fractional):
Pm1 0.0000 0.0000 0.0000
Th1 0.0000 0.0000 0.5000
Mg1 0.2500 0.2500 0.2500
Cd1 0.2500 0.2500 0.7500

VASP calculation (GGA-PBE) on a relaxed Al2NiPb crystal.

Values from the calculation:
Energy of formation from the pure elements in kJ per mole of atoms: 31
Size of the total moment in μB per formula unit: 0.0

Lattice parameters (Å, degrees): 6.6627 6.6627 6.6627 90.00 90.00 90.00
Space group F-43m (No. 216)
Symmetry-distinct sites (fractional):
Al1 0.0000 0.0000 0.0000
Al2 0.2500 0.2500 0.2500
Ni1 0.0000 0.0000 0.5000
Pb1 0.2500 0.2500 0.7500

VASP calculation (GGA-PBE) on a relaxed LiCeYSe3 crystal.

Values from the calculation:
Energy in eV/atom: -5.79
Size of the total moment in μB per formula unit: 1.4

Lattice parameters (Å, degrees): 8.4664 4.0357 8.8948 90.00 103.38 90.00
Space group P2_1/m (No. 11)
Symmetry-distinct sites (fractional):
Li1 0.0872 0.2500 0.0846
Ce1 0.1861 0.2500 0.7252
Y1 0.3329 0.7500 0.3400
Se1 0.0959 0.2500 0.3676
Se2 0.2211 0.7500 0.0010
Se3 0.4318 0.7500 0.6742

VASP calculation (GGA-PBE) on a relaxed Na2ScTaTe crystal.

Values from the calculation:
Energy in eV/atom: -3.61
Size of the total moment in μB per formula unit: 0.0

Lattice parameters (Å, degrees): 5.5390 5.5390 4.8879 90.00 90.00 90.00
Space group P4/mmm (No. 123)
Symmetry-distinct sites (fractional):
Na1 0.0000 0.5000 0.0000
Sc1 0.0000 0.0000 0.0000
Ta1 0.0000 0.0000 0.5000
Te1 0.5000 0.5000 0.5000

VASP calculation (GGA-PBE) on a relaxed InAu2Se crystal.

Values from the calculation:
Energy in eV/atom: -3.14
Size of the total moment in μB per formula unit: 0.0

Lattice parameters (Å, degrees): 3.9566 3.9566 5.5361 90.00 90.00 90.00
Space group P4/mmm (No. 123)
Symmetry-distinct sites (fractional):
In1 0.0000 0.0000 0.0000
Au1 0.0000 0.5000 0.5000
Se1 0.5000 0.5000 0.0000

VASP calculation (GGA-PBE) on a relaxed KBaIr3 crystal.

Values from the calculation:
Energy of formation from the pure elements in kJ per mole of atoms: 218
Size of the total moment in μB per formula unit: 1.8

Lattice parameters (Å, degrees): 5.3056 5.3056 5.3056 90.00 90.00 90.00
Space group Pm-3m (No. 221)
Symmetry-distinct sites (fractional):
K1 0.0000 0.0000 0.0000
Ba1 0.5000 0.5000 0.5000
Ir1 0.0000 0.5000 0.5000

VASP calculation (GGA-PBE) on a relaxed BaS2N crystal.

Values from the calculation:
Energy in eV/atom: -4.78
Size of the total moment in μB per formula unit: 0.9

Lattice parameters (Å, degrees): 5.0071 5.0071 18.0303 90.00 90.00 120.00
Space group R-3m (No. 166, hexagonal axes)
Symmetry-distinct sites (fractional):
Ba1 0.0000 0.0000 0.0000
S1 0.0000 0.0000 0.4115
N1 0.0000 0.0000 0.5000

VASP calculation (GGA-PBE) on a relaxed NbSiPt crystal.

Values from the calculation:
Energy in eV/atom: -8.00
Size of the total moment in μB per formula unit: 0.0

Lattice parameters (Å, degrees): 6.4825 3.8504 7.4284 90.00 90.00 90.00
Space group Pnma (No. 62)
Symmetry-distinct sites (fractional):
Nb1 0.0267 0.2500 0.1649
Si1 0.2312 0.7500 0.3742
Pt1 0.1518 0.2500 0.5656

VASP calculation (GGA-PBE) on a relaxed LiSmGa6 crystal.

Values from the calculation:
Energy of formation from the pure elements in kJ per mole of atoms: -29
Size of the total moment in μB per formula unit: 0.0

Lattice parameters (Å, degrees): 4.3803 6.4495 5.4196 90.00 90.00 90.00
Space group Pmm2 (No. 25)
Symmetry-distinct sites (fractional):
Li1 0.0000 0.0000 0.0000
Sm1 0.5000 0.5000 0.7119
Ga1 0.0000 0.2069 0.5140
Ga2 0.0000 0.5000 0.1337
Ga3 0.5000 0.0000 0.7032
Ga4 0.5000 0.2215 0.1956

VASP calculation (GGA-PBE) on a relaxed Ba2Li2TbS4 crystal.

Values from the calculation:
Energy in eV/atom: -4.92
Size of the total moment in μB per formula unit: 0.0

Lattice parameters (Å, degrees): 14.9554 4.0779 7.3567 90.00 110.10 90.00
Space group C2/m (No. 12)
Symmetry-distinct sites (fractional):
Ba1 0.1336 0.0000 0.0575
Li1 0.1802 0.5000 0.4939
Tb1 0.0000 0.0000 0.5000
S1 0.0196 0.5000 0.2560
S2 0.2021 0.0000 0.6862

VASP calculation (GGA-PBE) on a relaxed SiNi4Ge crystal.

Values from the calculation:
Energy in eV/atom: -5.83
Size of the total moment in μB per formula unit: 0.0

Lattice parameters (Å, degrees): 4.1400 14.7019 4.6082 90.00 90.00 90.00
Space group Imma (No. 74)
Symmetry-distinct sites (fractional):
Si1 0.0000 0.0000 0.0000
Ni1 0.0000 0.0816 0.4237
Ni2 0.0000 0.1622 0.9230
Ge1 0.0000 0.2500 0.4579

VASP calculation (GGA-PBE) on a relaxed ThCd9Ag2 crystal.

Values from the calculation:
Energy of formation from the pure elements in kJ per mole of atoms: -7
Size of the total moment in μB per formula unit: 0.0

Lattice parameters (Å, degrees): 11.8198 11.8198 7.5803 90.00 90.00 90.00
Space group I4_1/amd (No. 141, origin choice 2)
Symmetry-distinct sites (fractional):
Th1 0.0000 0.2500 0.3750
Cd1 0.0000 0.2500 0.8750
Cd2 0.1202 0.0497 0.6738
Ag1 0.0000 0.0000 0.0000

VASP calculation (GGA-PBE) on a relaxed LiVSb2 crystal.

Values from the calculation:
Energy in eV/atom: -4.95
Size of the total moment in μB per formula unit: 1.8

Lattice parameters (Å, degrees): 3.2894 3.2894 7.7635 90.00 90.00 90.00
Space group P4/mmm (No. 123)
Symmetry-distinct sites (fractional):
Li1 0.0000 0.0000 0.0000
V1 0.0000 0.0000 0.5000
Sb1 0.5000 0.5000 0.2797

VASP calculation (GGA-PBE) on a relaxed Zr2CdBr crystal.

Values from the calculation:
Energy in eV/atom: -5.03
Size of the total moment in μB per formula unit: 0.0

Lattice parameters (Å, degrees): 3.2290 4.4773 6.2942 90.00 99.55 90.00
Space group P2/m (No. 10)
Symmetry-distinct sites (fractional):
Zr1 0.0588 0.0000 0.2502
Cd1 0.5000 0.5000 0.0000
Br1 0.0000 0.5000 0.5000

VASP calculation (GGA-PBE) on a relaxed ReNi crystal.

Values from the calculation:
Energy of formation from the pure elements in kJ per mole of atoms: -2
Size of the total moment in μB per formula unit: 0.0

Lattice parameters (Å, degrees): 4.2627 2.6320 4.5976 90.00 90.00 90.00
Space group Pmma (No. 51)
Symmetry-distinct sites (fractional):
Re1 0.2500 0.0000 0.1633
Ni1 0.2500 0.5000 0.6489

VASP calculation (GGA-PBE) on a relaxed Rb2SmP2S6 crystal.

Values from the calculation:
Energy in eV/atom: -4.74
Size of the total moment in μB per formula unit: 0.0

Lattice parameters (Å, degrees): 12.0570 7.0041 8.1745 90.00 118.76 90.00
Space group C2/m (No. 12)
Symmetry-distinct sites (fractional):
Rb1 0.2135 0.0000 0.1966
Sm1 0.0000 0.0000 0.5000
P1 0.0482 0.5000 0.1764
S1 0.0388 0.2581 0.7909
S2 0.2437 0.5000 0.3651

VASP calculation (GGA-PBE) on a relaxed Pu5SnGe4 crystal.

Values from the calculation:
Energy of formation from the pure elements in kJ per mole of atoms: -41
Size of the total moment in μB per formula unit: 26.7

Lattice parameters (Å, degrees): 3.9042 3.9042 14.7271 90.00 90.00 90.00
Space group P4/mmm (No. 123)
Symmetry-distinct sites (fractional):
Pu1 0.0000 0.0000 0.0000
Pu2 0.0000 0.0000 0.1935
Pu3 0.0000 0.0000 0.3861
Sn1 0.5000 0.5000 0.5000
Ge1 0.5000 0.5000 0.0975
Ge2 0.5000 0.5000 0.2912

VASP calculation (GGA-PBE) on a relaxed PaSnMoPt crystal.

Values from the calculation:
Energy of formation from the pure elements in kJ per mole of atoms: -18
Size of the total moment in μB per formula unit: 0.0

Lattice parameters (Å, degrees): 6.8466 6.8466 6.8466 90.00 90.00 90.00
Space group F-43m (No. 216)
Symmetry-distinct sites (fractional):
Pa1 0.0000 0.0000 0.0000
Sn1 0.0000 0.0000 0.5000
Mo1 0.2500 0.2500 0.7500
Pt1 0.2500 0.2500 0.2500

VASP calculation (GGA-PBE) on a relaxed BeNiRu2 crystal.

Values from the calculation:
Energy of formation from the pure elements in kJ per mole of atoms: 9
Size of the total moment in μB per formula unit: 0.7

Lattice parameters (Å, degrees): 2.6447 2.6447 24.0975 90.00 90.00 120.00
Space group R-3m (No. 166, hexagonal axes)
Symmetry-distinct sites (fractional):
Be1 0.0000 0.0000 0.0000
Ni1 0.0000 0.0000 0.5000
Ru1 0.0000 0.0000 0.2539

VASP calculation (GGA-PBE) on a relaxed ScNi2Mo crystal.

Values from the calculation:
Energy of formation from the pure elements in kJ per mole of atoms: -14
Size of the total moment in μB per formula unit: 0.0

Lattice parameters (Å, degrees): 2.7912 4.2533 4.8903 90.00 98.42 90.00
Space group Pm (No. 6)
Symmetry-distinct sites (fractional):
Sc1 0.0000 0.0000 0.0000
Ni1 0.3852 0.0000 0.5338
Ni2 0.4397 0.5000 0.8584
Mo1 0.7833 0.5000 0.3996

VASP calculation (GGA-PBE) on a relaxed RbLiAl crystal.

Values from the calculation:
Energy of formation from the pure elements in kJ per mole of atoms: 4
Size of the total moment in μB per formula unit: 0.0

Lattice parameters (Å, degrees): 7.9337 4.5836 12.7298 90.00 100.70 90.00
Space group Cm (No. 8)
Symmetry-distinct sites (fractional):
Rb1 0.0000 0.0000 0.0000
Rb2 0.0256 0.5000 0.6430
Li1 0.0904 0.0000 0.3023
Li2 0.2910 0.5000 0.4164
Al1 0.2283 0.5000 0.2073
Al2 0.4107 0.0000 0.2576

VASP calculation (GGA-PBE) on a relaxed Cd2AgSe crystal.

Values from the calculation:
Energy in eV/atom: -2.01
Size of the total moment in μB per formula unit: 0.0

Lattice parameters (Å, degrees): 7.2986 7.2986 7.8318 90.00 90.00 90.00
Space group I-42d (No. 122)
Symmetry-distinct sites (fractional):
Cd1 0.2407 0.2500 0.1250
Ag1 0.0000 0.0000 0.5000
Se1 0.0000 0.0000 0.0000

VASP calculation (GGA-PBE) on a relaxed SrGa6Pd3 crystal.

Values from the calculation:
Energy of formation from the pure elements in kJ per mole of atoms: -46
Size of the total moment in μB per formula unit: 0.0

Lattice parameters (Å, degrees): 7.1466 6.9260 8.4845 90.00 118.07 90.00
Space group P2_1/c (No. 14)
Symmetry-distinct sites (fractional):
Sr1 0.0000 0.0000 0.0000
Ga1 0.1350 0.0250 0.6782
Ga2 0.2973 0.6799 0.8924
Ga3 0.4577 0.2116 0.2536
Pd1 0.2175 0.1678 0.4098
Pd2 0.5000 0.0000 0.0000